Record 1
Here is a relaxed Pm2PSe crystal from the Alexandria database. Energies are from PBE-GGA.

a b c (Å): 4.1424 5.8797 8.4145
angles (deg): 90.00 90.00 90.00
Last column: nearest neighbours and their distance in Å.
Fractional positions:
Pm: 0.0000 0.0000 0.8547  2 P 2.83, 4 Se 2.95-3.05
Pm: 0.0000 0.0000 0.3881  4 P 2.87-2.94, 2 Se 3.06
Pm: 0.5000 0.5000 0.6119  4 P 2.87-2.94, 2 Se 3.06
Pm: 0.5000 0.5000 0.1453  2 P 2.83, 4 Se 2.95-3.05
P: 0.5000 0.0000 0.6249  6 Pm 2.83-2.94
P: 0.0000 0.5000 0.3751  6 Pm 2.83-2.94
Se: 0.0000 0.5000 0.8791  6 Pm 2.95-3.06
Se: 0.5000 0.0000 0.1209  6 Pm 2.95-3.06

Properties
Space group ... Pmmn
ΔE_f (raw) ... -1.79 eV/atom

---

Record 2
Here is a relaxed Pm2FeGe5 crystal from the Alexandria database. Energies are from PBE-GGA.

a b c (Å): 6.2235 6.2235 6.2235
angles (deg): 86.81 121.86 121.86
Last column: nearest neighbours and their distance in Å.
Fractional positions:
Pm: 0.5000 0.2323 0.7323  10 Ge 3.05-3.17
Pm: 0.5000 0.7323 0.2323  10 Ge 3.05-3.17
Fe: 0.0000 0.0214 0.0214  5 Ge 2.30-2.39
Ge: 0.4461 0.7131 0.7131  1 Fe 2.39
Ge: 0.0000 0.7131 0.2669  1 Fe 2.39
Ge: 0.0000 0.2669 0.7131  1 Fe 2.39
Ge: 0.5539 0.2669 0.2669  1 Fe 2.39
Ge: 0.0000 0.2761 0.2761  1 Fe 2.30

Properties
Space group ... I4mm
Formation enthalpy at 0 K ... -374 meV per atom

---

Record 3
Here is a relaxed Li3Mn3VS8 crystal from the Alexandria database. Energies are from PBE-GGA.

a b c (Å): 6.7432 6.7450 7.2545
angles (deg): 117.74 90.01 119.99
Last column: nearest neighbours and their distance in Å.
Fractional positions:
Li: 0.0000 0.0000 0.0000  6 S 2.60
Li: 0.0000 0.5000 0.0000  6 S 2.60
Li: 0.5000 0.5000 0.0000  6 S 2.60-2.61
Mn: 0.5000 0.0000 0.5000  6 S 2.36
Mn: 0.5000 0.5000 0.5000  6 S 2.36
Mn: 0.0000 0.5000 0.5000  6 S 2.36
V: 0.0000 0.0000 0.5000  6 S 2.41
S: 0.2598 0.5210 0.2821  3 Mn 2.36, 3 Li 2.60-2.61
S: 0.7402 0.4790 0.7179  3 Mn 2.36, 3 Li 2.60-2.61
S: 0.7558 0.5111 0.2773  2 Mn 2.36, 1 V 2.41, 2 Li 2.60
S: 0.2442 0.4889 0.7227  2 Mn 2.36, 1 V 2.41, 2 Li 2.60
S: 0.7559 0.0218 0.2774  2 Mn 2.36, 1 V 2.41, 2 Li 2.60
S: 0.2441 0.9782 0.7226  2 Mn 2.36, 1 V 2.41, 2 Li 2.60
S: 0.2658 0.0215 0.2773  2 Mn 2.36, 1 V 2.41, 2 Li 2.60
S: 0.7342 0.9785 0.7227  2 Mn 2.36, 1 V 2.41, 2 Li 2.60

Properties
Space group ... R-3m
ΔE_f (raw) ... -0.83 eV/atom

---

Record 4
Here is a relaxed Na3As2P crystal from the Alexandria database. Energies are from PBE-GGA.

a b c (Å): 7.8336 10.2074 8.9889
angles (deg): 90.00 113.24 90.00
Last column: nearest neighbours and their distance in Å.
Fractional positions:
Na: 0.2502 0.8373 0.9624  4 As 3.09-3.21, 2 P 3.15-3.35, 1 Na 3.40
Na: 0.2498 0.3373 0.5376  4 As 3.09-3.21, 2 P 3.15-3.35, 1 Na 3.40
Na: 0.7498 0.1627 0.0376  4 As 3.09-3.21, 2 P 3.15-3.35, 1 Na 3.40
Na: 0.7502 0.6627 0.4624  4 As 3.09-3.21, 2 P 3.15-3.35, 1 Na 3.40
Na: 0.3616 0.5020 0.1333  2 P 2.95-3.28, 4 As 2.98-3.22
Na: 0.1384 0.0020 0.3667  2 P 2.95-3.28, 4 As 2.98-3.22
Na: 0.6384 0.4980 0.8667  2 P 2.95-3.28, 4 As 2.98-3.22
Na: 0.8616 0.9980 0.6333  2 P 2.95-3.28, 4 As 2.98-3.22
Na: 0.9117 0.7049 0.1658  1 P 2.97, 4 As 2.98-3.15
Na: 0.5883 0.2049 0.3342  1 P 2.97, 4 As 2.98-3.15
Na: 0.0883 0.2951 0.8342  1 P 2.97, 4 As 2.98-3.15
Na: 0.4117 0.7951 0.6658  1 P 2.97, 4 As 2.98-3.15
As: 0.7350 0.9312 0.2717  1 P 2.23
As: 0.7650 0.4312 0.2283  1 P 2.23
As: 0.2650 0.0688 0.7283  1 P 2.23
As: 0.2350 0.5688 0.7717  1 P 2.23
As: 0.3332 0.7366 0.3197  1 P 2.24
As: 0.1668 0.2366 0.1803  1 P 2.24
As: 0.6668 0.2634 0.6803  1 P 2.24
As: 0.8332 0.7634 0.8197  1 P 2.24
P: 0.4785 0.9257 0.3229  2 As 2.23-2.24
P: 0.0215 0.4257 0.1771  2 As 2.23-2.24
P: 0.5215 0.0743 0.6771  2 As 2.23-2.24
P: 0.9785 0.5743 0.8229  2 As 2.23-2.24

Properties
Space group ... P2_1/c
Formation enthalpy at 0 K ... -263 meV per atom

---

Record 5
Here is a relaxed Cu7Pd3Pt2 crystal from the Alexandria database. Energies are from PBE-GGA.

a b c (Å): 2.7131 4.2728 14.5403
angles (deg): 92.25 90.00 90.00
Last column: nearest neighbours and their distance in Å.
Fractional positions:
Cu: 0.5000 0.7446 0.4610  2 Cu 2.42, 1 Pt 2.52
Cu: 0.5000 0.2554 0.5390  2 Cu 2.42, 1 Pt 2.52
Cu: 0.0000 0.6924 0.1408  7 Cu 2.48-2.71, 2 Pt 2.53, 2 Pd 2.56
Cu: 0.0000 0.0000 0.0000  4 Cu 2.48-2.71, 4 Pd 2.53
Cu: 0.0000 0.3076 0.8592  7 Cu 2.48-2.71, 2 Pt 2.53, 2 Pd 2.56
Cu: 0.5000 0.7997 0.8229  6 Cu 2.57-2.71, 2 Pt 2.65-2.69
Cu: 0.5000 0.2003 0.1771  6 Cu 2.57-2.71, 2 Pt 2.65-2.69
Pd: 0.5000 0.5000 0.0000  8 Cu 2.53-2.56, 2 Pd 2.71
Pd: 0.0000 0.2334 0.3771  2 Pd 2.71, 6 Cu 2.72-2.81, 4 Pt 2.84-2.85
Pd: 0.0000 0.7666 0.6229  2 Pd 2.71, 6 Cu 2.72-2.81, 4 Pt 2.84-2.85
Pt: 0.5000 0.7209 0.2878  5 Cu 2.52-2.69, 2 Pt 2.71
Pt: 0.5000 0.2791 0.7122  5 Cu 2.52-2.69, 2 Pt 2.71

Properties
Space group ... P2/m
Formation enthalpy at 0 K ... 3 meV per atom

---

Record 6
Here is a relaxed Pm6Ga2Tc crystal from the Alexandria database. Energies are from PBE-GGA.

a b c (Å): 4.4969 7.9717 7.9712
angles (deg): 120.00 90.00 90.00
Last column: nearest neighbours and their distance in Å.
Fractional positions:
Pm: 0.5000 0.5888 0.0000  1 Tc 3.28, 4 Ga 3.29, 6 Pm 3.53-3.64
Pm: 0.5000 0.4111 0.4111  1 Tc 3.28, 4 Ga 3.29, 6 Pm 3.53-3.64
Pm: 0.5000 0.0000 0.5889  1 Tc 3.28, 4 Ga 3.29, 6 Pm 3.53-3.64
Pm: 0.0000 0.2479 0.0000  2 Tc 2.99, 2 Ga 3.06
Pm: 0.0000 0.7521 0.7522  2 Tc 2.99, 2 Ga 3.06
Pm: 0.0000 0.9999 0.2478  2 Tc 2.99, 2 Ga 3.06
Ga: 0.0000 0.3333 0.6666  9 Pm 3.06-3.29
Ga: 0.0000 0.6667 0.3334  9 Pm 3.06-3.29
Tc: 0.5000 0.0002 0.0000  9 Pm 2.99-3.28

Properties
Space group ... P-62m
Formation enthalpy at 0 K ... -264 meV per atom

---

Record 7
Here is a relaxed MgSiPd5 crystal from the Alexandria database. Energies are from PBE-GGA.

a b c (Å): 5.4471 5.4471 9.5292
angles (deg): 66.94 66.94 74.80
Last column: nearest neighbours and their distance in Å.
Fractional positions:
Mg: 0.6848 0.3152 0.2500  5 Pd 2.66-2.83
Mg: 0.3152 0.6848 0.7500  5 Pd 2.66-2.83
Si: 0.0000 0.0000 0.0000  6 Pd 2.41-2.55
Si: 0.0000 0.0000 0.5000  6 Pd 2.41-2.55
Pd: 0.6326 0.8220 0.2362  1 Si 2.41, 1 Mg 2.66, 1 Pd 2.66
Pd: 0.2485 0.5335 0.4966  1 Si 2.55, 6 Pd 2.66-2.80
Pd: 0.8220 0.6326 0.7362  1 Si 2.41, 1 Mg 2.66, 1 Pd 2.66
Pd: 0.0909 0.9091 0.2500  2 Si 2.46, 1 Mg 2.69, 4 Pd 2.71-2.72
Pd: 0.4665 0.7515 0.0034  1 Si 2.55, 6 Pd 2.66-2.80
Pd: 0.5335 0.2485 0.9966  1 Si 2.55, 6 Pd 2.66-2.80
Pd: 0.9091 0.0909 0.7500  2 Si 2.46, 1 Mg 2.69, 4 Pd 2.71-2.72
Pd: 0.1780 0.3674 0.2638  1 Si 2.41, 1 Mg 2.66, 1 Pd 2.66
Pd: 0.7515 0.4665 0.5034  1 Si 2.55, 6 Pd 2.66-2.80
Pd: 0.3674 0.1780 0.7638  1 Si 2.41, 1 Mg 2.66, 1 Pd 2.66

Properties
Space group ... C2/c
ΔE_f (raw) ... -0.35 eV/atom

---

Record 8
Here is a relaxed Ba2MgInPd crystal from the Alexandria database. Energies are from PBE-GGA.

a b c (Å): 6.1480 6.1480 5.0783
angles (deg): 90.00 90.00 90.00
Last column: nearest neighbours and their distance in Å.
Fractional positions:
Mg: 0.0000 0.0000 0.5000  2 Pd 2.54
Ba: 0.0000 0.5000 0.0000  2 Pd 3.07
Ba: 0.5000 0.0000 0.0000  2 Pd 3.07
Pd: 0.0000 0.0000 0.0000  2 Mg 2.54
In: 0.5000 0.5000 0.5000  8 Ba 3.99, 4 Mg 4.35

Properties
Space group ... P4/mmm
Formation enthalpy at 0 K ... -295 meV per atom

---

Record 9
Here is a relaxed Tb2ThFe9 crystal from the Alexandria database. Energies are from PBE-GGA.

a b c (Å): 5.1076 5.1076 8.7469
angles (deg): 73.02 73.02 60.00
Last column: nearest neighbours and their distance in Å.
Fractional positions:
Tb: 0.8577 0.8577 0.4268  12 Fe 2.95-3.07, 3 Tb 3.19
Tb: 0.1423 0.1423 0.5732  12 Fe 2.95-3.07, 3 Tb 3.19
Th: 0.0000 0.0000 0.0000  18 Fe 2.95-3.27
Fe: 0.6676 0.6676 0.9973  6 Fe 2.50-2.53
Fe: 0.3324 0.3324 0.0027  6 Fe 2.50-2.53
Fe: 0.5000 0.5000 0.5000  6 Fe 2.55
Fe: 0.4185 0.4185 0.2471  7 Fe 2.50-2.57
Fe: 0.9159 0.4185 0.2471  7 Fe 2.50-2.57
Fe: 0.4185 0.9159 0.2471  7 Fe 2.50-2.57
Fe: 0.5815 0.5815 0.7529  7 Fe 2.50-2.57
Fe: 0.5815 0.0841 0.7529  7 Fe 2.50-2.57
Fe: 0.0841 0.5815 0.7529  7 Fe 2.50-2.57

Properties
Space group ... R-3m
Formation enthalpy at 0 K ... -64 meV per atom

---

Record 10
Here is a relaxed CaSn2Cl crystal from the Alexandria database. Energies are from PBE-GGA.

a b c (Å): 5.4193 5.4193 5.4193
angles (deg): 60.00 60.00 60.00
Last column: nearest neighbours and their distance in Å.
Fractional positions:
Ca: 0.5000 0.5000 0.5000  8 Sn 3.32
Sn: 0.2500 0.2500 0.2500  4 Ca 3.32, 4 Cl 3.32
Sn: 0.7500 0.7500 0.7500  4 Cl 3.32, 4 Ca 3.32
Cl: 0.0000 0.0000 0.0000  8 Sn 3.32

Properties
Space group ... Fm-3m
ΔE_f (raw) ... -0.18 eV/atom

---

| no. | electronic total energy (eV per atom) |
| --- | --- |
| 1 | -6.38 |
| 2 | -5.51 |
| 3 | -5.86 |
| 4 | -3.37 |
| 5 | -4.69 |
| 6 | -5.26 |
| 7 | -5.06 |
| 8 | -2.97 |
| 9 | -7.80 |
| 10 | -3.14 |